First-principles (PBE) data for an optimized crystal structure of TbAlFe4, as listed in the Alexandria database.

- Spin magnetization: 1.37 μB per atom
- Density: 7.5 g/cm3
- Energy of formation from the pure elements: 0.0406 eV/atom
- Symmetry: Cmcm

a b c (Å): 7.918 7.918 5.762
angles (deg): 90.00 90.00 149.91
Atoms (fractional coordinates):
Tb: 0.126 0.874 0.750
Tb: 0.874 0.126 0.250
Al: 0.225 0.775 0.250
Al: 0.775 0.225 0.750
Fe: 0.062 0.938 0.250
Fe: 0.344 0.656 0.563
Fe: 0.344 0.656 0.937
Fe: 0.500 0.500 0.000
Fe: 0.500 0.500 0.500
Fe: 0.656 0.344 0.063
Fe: 0.656 0.344 0.437
Fe: 0.938 0.062 0.750